1.
A plane-wave DFT calculation with SCAN was carried out for a crystal of Sr2InSi relaxed with PBEsol.

Results
energy relative to the elements, uncorrected	-0.451	eV per formula unit

Cell: 3.724 5.123 7.344 Å, 99.69 90.00 111.31°
Element x y z (fractional)
1 In 0.000 0.000 0.500
2 Si 0.500 0.000 0.000
3 Sr 0.761 0.521 0.775
4 Sr 0.239 0.479 0.225

---

2.
A plane-wave DFT calculation with SCAN was carried out for a crystal of Sr2InSi relaxed with PBEsol.

Results
energy relative to the elements, uncorrected	-2.050	eV per formula unit

Cell: 4.381 4.738 6.400 Å, 111.72 90.00 90.00°
Element x y z (fractional)
1 Sr 0.000 0.113 0.226
2 Sr 0.500 0.396 0.791
3 Si 0.500 0.680 0.360
4 In 0.000 0.817 0.634

---

3.
A plane-wave DFT calculation with SCAN was carried out for a crystal of TaInSi4 relaxed with PBEsol.

Results
energy relative to the elements, uncorrected	2.819	eV per formula unit

Cell: 5.050 5.050 5.050 Å, 60.00 60.00 60.00°
Element x y z (fractional)
1 In 0.000 0.000 0.000
2 Si 0.376 0.376 0.376
3 Si 0.376 0.376 0.871
4 Si 0.871 0.376 0.376
5 Si 0.376 0.871 0.376
6 Ta 0.750 0.750 0.750

---

4.
A plane-wave DFT calculation with SCAN was carried out for a crystal of TaInSi2 relaxed with PBEsol.

Results
energy relative to the elements, uncorrected	0.865	eV per formula unit

Cell: 2.942 2.942 8.398 Å, 90.00 90.00 102.87°
Element x y z (fractional)
1 In 0.500 0.500 0.000
2 Si 0.000 0.000 0.281
3 Si 0.000 0.000 0.719
4 Ta 0.500 0.500 0.500

---

5.
A plane-wave DFT calculation with SCAN was carried out for a crystal of TaInSi2 relaxed with PBEsol.

Results
energy relative to the elements, uncorrected	1.524	eV per formula unit

Cell: 3.847 3.847 5.252 Å, 111.48 111.48 90.00°
Element x y z (fractional)
1 In 0.250 0.750 0.500
2 Si 0.000 0.000 0.000
3 Si 0.750 0.250 0.500
4 Ta 0.500 0.500 0.000

---

6.
A plane-wave DFT calculation with SCAN was carried out for a crystal of TaIn2Si2 relaxed with PBEsol.

Results
energy relative to the elements, uncorrected	2.533	eV per formula unit

Cell: 3.269 3.269 9.385 Å, 100.03 100.03 90.00°
Element x y z (fractional)
1 Si 0.250 0.750 0.500
2 Si 0.750 0.250 0.500
3 In 0.394 0.394 0.788
4 In 0.606 0.606 0.212
5 Ta 0.000 0.000 0.000

---

7.
A plane-wave DFT calculation with SCAN was carried out for a crystal of InSiTc relaxed with PBEsol.

Results
ΔE to the lowest computed polymorph	0	kJ/mol of formula units
energy relative to the elements, uncorrected	-1.090	eV per formula unit

Cell: 3.112 3.112 10.499 Å, 98.52 98.52 90.00°
Element x y z (fractional)
1 Si 0.716 0.716 0.432
2 Si 0.284 0.284 0.568
3 Tc 0.838 0.838 0.676
4 Tc 0.162 0.162 0.324
5 In 0.430 0.430 0.860
6 In 0.570 0.570 0.140

---

8.
A plane-wave DFT calculation with SCAN was carried out for a crystal of InSi2Tc relaxed with PBEsol.

Results
energy relative to the elements, uncorrected	0.620	eV per formula unit

Cell: 3.157 3.157 6.421 Å, 90.00 90.00 90.06°
Element x y z (fractional)
1 In 0.500 0.500 0.262
2 Si 0.000 0.000 0.945
3 Si 0.500 0.500 0.726
4 Tc 0.000 0.000 0.567

---

9.
A plane-wave DFT calculation with SCAN was carried out for a crystal of In2SiTc relaxed with PBEsol.

Results
energy relative to the elements, uncorrected	0.246	eV per formula unit

Cell: 3.145 3.145 7.556 Å, 90.00 90.00 90.00°
Element x y z (fractional)
1 In 0.000 0.000 0.945
2 In 0.500 0.500 0.297
3 Si 0.000 0.000 0.562
4 Tc 0.500 0.500 0.696

---

10.
A plane-wave DFT calculation with SCAN was carried out for a crystal of InSiTc relaxed with PBEsol.

Results
ΔE to the lowest computed polymorph	141	kJ/mol of formula units
energy relative to the elements, uncorrected	0.374	eV per formula unit

Cell: 3.013 3.013 6.365 Å, 90.00 90.00 120.00°
Each line ends with the local moment (μB).
Element x y z (fractional)
1 In 0.000 0.000 0.010  0.00
2 Si 0.333 0.667 0.626  -0.01
3 Tc 0.667 0.333 0.364  0.34

---

11.
A plane-wave DFT calculation with SCAN was carried out for a crystal of InSiTe2 relaxed with PBEsol.

Results
ΔE to the lowest computed polymorph	22	kJ/mol of formula units
energy relative to the elements, uncorrected	1.470	eV per formula unit

Cell: 3.634 3.634 7.325 Å, 90.00 90.00 90.00°
Element x y z (fractional)
1 In 0.500 0.500 0.000
2 Si 0.500 0.500 0.500
3 Te 0.000 0.000 0.728
4 Te 0.000 0.000 0.272

---

12.
A plane-wave DFT calculation with SCAN was carried out for a crystal of InSiTe2 relaxed with PBEsol.

Results
ΔE to the lowest computed polymorph	8	kJ/mol of formula units
energy relative to the elements, uncorrected	1.318	eV per formula unit

Cell: 3.446 3.446 9.181 Å, 90.00 90.00 108.65°
Element x y z (fractional)
1 In 0.000 0.000 0.472
2 Si 0.500 0.500 0.250
3 Te 0.000 0.000 0.060
4 Te 0.500 0.500 0.717

---

13.
A plane-wave DFT calculation with SCAN was carried out for a crystal of InSiTe2 relaxed with PBEsol.

Results
ΔE to the lowest computed polymorph	38	kJ/mol of formula units
energy relative to the elements, uncorrected	1.636	eV per formula unit

Cell: 5.136 5.136 5.136 Å, 60.00 60.00 60.00°
Element x y z (fractional)
1 In 0.500 0.500 0.500
2 Si 0.000 0.000 0.000
3 Te 0.750 0.750 0.750
4 Te 0.250 0.250 0.250

---

14.
A plane-wave DFT calculation with SCAN was carried out for a crystal of InSiTe4 relaxed with PBEsol.

Results
energy relative to the elements, uncorrected	4.161	eV per formula unit

Cell: 6.261 6.261 6.261 Å, 60.00 60.00 60.00°
Element x y z (fractional)
1 In 0.750 0.750 0.750
2 Si 0.000 0.000 0.000
3 Te 0.375 0.375 0.375
4 Te 0.375 0.375 0.876
5 Te 0.876 0.375 0.375
6 Te 0.375 0.876 0.375

---

15.
A plane-wave DFT calculation with SCAN was carried out for a crystal of In2SiTe relaxed with PBEsol.

Results
ΔE to the lowest computed polymorph	51	kJ/mol of formula units
energy relative to the elements, uncorrected	1.479	eV per formula unit

Cell: 3.134 5.219 5.911 Å, 90.00 96.96 90.00°
Element x y z (fractional)
1 In 0.200 0.000 0.764
2 In 0.800 0.000 0.236
3 Si 0.500 0.500 0.000
4 Te 0.500 0.500 0.500

---

16.
A plane-wave DFT calculation with SCAN was carried out for a crystal of In2SiTe relaxed with PBEsol.

Results
ΔE to the lowest computed polymorph	78	kJ/mol of formula units
energy relative to the elements, uncorrected	1.763	eV per formula unit

Cell: 5.118 5.118 5.118 Å, 60.00 60.00 60.00°
Element x y z (fractional)
1 In 0.750 0.750 0.750
2 In 0.250 0.250 0.250
3 Si 0.000 0.000 0.000
4 Te 0.500 0.500 0.500

---

17.
A plane-wave DFT calculation with SCAN was carried out for a crystal of InSiTe2 relaxed with PBEsol.

Results
ΔE to the lowest computed polymorph	0	kJ/mol of formula units
energy relative to the elements, uncorrected	1.238	eV per formula unit

Cell: 3.369 3.369 9.021 Å, 90.00 90.00 90.00°
Element x y z (fractional)
1 In 0.000 0.000 0.535
2 Si 0.500 0.500 0.765
3 Te 0.000 0.000 0.924
4 Te 0.500 0.500 0.276

---

18.
A plane-wave DFT calculation with SCAN was carried out for a crystal of In2SiTe relaxed with PBEsol.

Results
ΔE to the lowest computed polymorph	0	kJ/mol of formula units
energy relative to the elements, uncorrected	0.949	eV per formula unit

Cell: 3.662 5.703 5.900 Å, 119.32 108.08 90.00°
Element x y z (fractional)
1 In 0.976 0.980 0.952
2 In 0.803 0.253 0.606
3 Si 0.531 0.664 0.062
4 Te 0.190 0.603 0.380

---

19.
A plane-wave DFT calculation with SCAN was carried out for a crystal of TiInSi2 relaxed with PBEsol.

Results
energy relative to the elements, uncorrected	1.508	eV per formula unit

Cell: 5.509 5.838 5.838 Å, 77.14 61.85 61.85°
Element x y z (fractional)
1 Si 0.611 0.014 0.514
2 Si 0.139 0.986 0.486
3 Si 0.375 0.486 0.014
4 Si 0.875 0.514 0.986
5 Ti 0.500 0.000 0.000
6 Ti 0.250 0.500 0.500
7 In 0.000 0.000 0.000
8 In 0.750 0.500 0.500

---

20.
A plane-wave DFT calculation with SCAN was carried out for a crystal of TlInSi2 relaxed with PBEsol.

Results
ΔE to the lowest computed polymorph	184	kJ/mol of formula units
energy relative to the elements, uncorrected	2.891	eV per formula unit

Cell: 4.222 4.222 5.599 Å, 112.15 112.15 90.00°
Element x y z (fractional)
1 In 0.250 0.750 0.500
2 Si 0.000 0.000 0.000
3 Si 0.750 0.250 0.500
4 Tl 0.500 0.500 0.000

---

21.
A plane-wave DFT calculation with SCAN was carried out for a crystal of TlInSi2 relaxed with PBEsol.

Results
ΔE to the lowest computed polymorph	182	kJ/mol of formula units
energy relative to the elements, uncorrected	2.865	eV per formula unit

Cell: 3.238 5.140 5.140 Å, 98.68 93.77 93.77°
Element x y z (fractional)
1 In 0.500 0.000 0.000
2 Si 0.000 0.500 0.000
3 Si 0.000 0.000 0.500
4 Tl 0.500 0.500 0.500

---

22.
A plane-wave DFT calculation with SCAN was carried out for a crystal of Tl2InSi relaxed with PBEsol.

Results
energy relative to the elements, uncorrected	1.737	eV per formula unit

Cell: 4.475 4.576 4.760 Å, 90.00 90.00 90.00°
Element x y z (fractional)
1 In 0.500 0.000 0.500
2 Si 0.000 0.500 0.500
3 Tl 0.000 0.000 0.000
4 Tl 0.500 0.500 0.000

---

23.
A plane-wave DFT calculation with SCAN was carried out for a crystal of TlIn2Si relaxed with PBEsol.

Results
energy relative to the elements, uncorrected	1.222	eV per formula unit

Cell: 3.796 4.146 6.842 Å, 107.64 106.11 90.00°
Element x y z (fractional)
1 In 0.005 0.005 0.011
2 In 0.811 0.311 0.623
3 Si 0.487 0.487 0.974
4 Tl 0.196 0.696 0.392

---

24.
A plane-wave DFT calculation with SCAN was carried out for a crystal of TlInSi2 relaxed with PBEsol.

Results
ΔE to the lowest computed polymorph	0	kJ/mol of formula units
energy relative to the elements, uncorrected	0.982	eV per formula unit

Cell: 3.735 3.735 7.766 Å, 76.09 76.09 60.00°
Element x y z (fractional)
1 In 0.264 0.264 0.208
2 Si 0.018 0.018 0.946
3 Si 0.728 0.728 0.815
4 Tl 0.490 0.490 0.531

---

25.
A plane-wave DFT calculation with SCAN was carried out for a crystal of Tl2InSi relaxed with PBEsol.

Results
energy relative to the elements, uncorrected	1.305	eV per formula unit

Cell: 3.341 3.341 8.773 Å, 90.00 90.00 93.65°
Element x y z (fractional)
1 In 0.000 0.000 0.464
2 Si 0.500 0.500 0.264
3 Tl 0.000 0.000 0.033
4 Tl 0.500 0.500 0.740

---

26.
A plane-wave DFT calculation with SCAN was carried out for a crystal of InSiW3 relaxed with PBEsol.

Results
energy relative to the elements, uncorrected	16.838	eV per formula unit

Cell: 4.794 4.794 4.794 Å, 90.00 90.00 90.00°
Element x y z (fractional)
1 Si 0.500 0.500 0.500
2 W 0.000 0.500 0.000
3 W 0.000 0.000 0.500
4 W 0.500 0.000 0.000
5 In 0.000 0.000 0.000

---

27.
A plane-wave DFT calculation with SCAN was carried out for a crystal of In2SiW relaxed with PBEsol.

Results
energy relative to the elements, uncorrected	1.621	eV per formula unit

Cell: 3.237 3.237 7.334 Å, 90.00 90.00 90.00°
Element x y z (fractional)
1 In 0.000 0.000 0.957
2 In 0.500 0.500 0.289
3 Si 0.000 0.000 0.557
4 W 0.500 0.500 0.697

---

28.
A plane-wave DFT calculation with SCAN was carried out for a crystal of InSiW2 relaxed with PBEsol.

Results
ΔE to the lowest computed polymorph	152	kJ/mol of formula units
energy relative to the elements, uncorrected	2.585	eV per formula unit

Cell: 3.229 4.328 4.614 Å, 90.00 90.00 90.00°
Element x y z (fractional)
1 In 0.500 0.500 0.000
2 Si 0.000 0.500 0.500
3 W 0.000 0.000 0.000
4 W 0.500 0.000 0.500

---

29.
A plane-wave DFT calculation with SCAN was carried out for a crystal of In2SiW relaxed with PBEsol.

Results
energy relative to the elements, uncorrected	2.953	eV per formula unit

Cell: 2.937 2.937 10.202 Å, 81.73 81.73 60.00°
Element x y z (fractional)
1 In 0.253 0.253 0.241
2 In 0.747 0.747 0.759
3 Si 0.500 0.500 0.500
4 W 0.000 0.000 0.000

---

30.
A plane-wave DFT calculation with SCAN was carried out for a crystal of In2SiW relaxed with PBEsol.

Results
energy relative to the elements, uncorrected	2.316	eV per formula unit

Cell: 3.403 4.712 5.395 Å, 115.89 108.38 90.00°
Element x y z (fractional)
1 In 0.992 0.992 0.984
2 In 0.762 0.262 0.524
3 Si 0.524 0.524 0.049
4 W 0.222 0.722 0.444